Crystalline Th2Al4Zn3Cu at its relaxed geometry. Source: the Alexandria database, functional PBE.

Structure (POSCAR):
```
Th2Al4Zn3Cu
1.0
4.273 0.000 0.000
0.000 4.273 0.000
0.000 0.000 10.454
Th Al Zn Cu
2 4 3 1
Direct
0.000 0.500 0.243
0.500 0.000 0.757
0.000 0.000 0.500
0.000 0.500 0.877
0.500 0.000 0.123
0.500 0.500 0.500
0.000 0.000 0.000
0.000 0.500 0.640
0.500 0.000 0.360
0.500 0.500 0.000
```

Summary:
symmetry = P-4m2
ΔE_f = -0.38 eV/atom
total magnetization = 0.000 μB/f.u.
E_tot = -41.55 eV per formula unit